Record 1
# TeMo2Ir | the Alexandria database | GGA-PBE | optimized geometry
# M_tot: 0.00 μB per cell
# Excess energy over the best structure of this formula in the dataset: 75 meV/atom
# Energy relative to the elements, uncorrected: 0.33 eV per atom
data_TeMo2Ir
_cell_length_a 5.345
_cell_length_b 5.345
_cell_length_c 5.345
_cell_angle_alpha 145.00
_cell_angle_beta 129.37
_cell_angle_gamma 63.03
_symmetry_space_group_name_H-M 'P 1'
_symmetry_Int_Tables_number 1
loop_
_symmetry_equiv_pos_as_xyz
'x,y,z'
loop_
_atom_site_label
_atom_site_type_symbol
_atom_site_fract_x
_atom_site_fract_y
_atom_site_fract_z
Ir1 Ir 0.267 0.767 0.500
Mo1 Mo 0.001 0.001 0.000
Mo2 Mo 0.735 0.235 0.500
Te1 Te 0.497 0.497 0.000

***

Record 2
# TeMo2Ir | the Alexandria database | GGA-PBE | optimized geometry
# M_tot: 0.00 μB per cell
# Excess energy over the best structure of this formula in the dataset: 52 meV/atom
# Energy relative to the elements, uncorrected: 0.30 eV per atom
data_TeMo2Ir
_cell_length_a 4.556
_cell_length_b 4.556
_cell_length_c 4.556
_cell_angle_alpha 60.00
_cell_angle_beta 60.00
_cell_angle_gamma 60.00
_symmetry_space_group_name_H-M 'P 1'
_symmetry_Int_Tables_number 1
loop_
_symmetry_equiv_pos_as_xyz
'x,y,z'
loop_
_atom_site_label
_atom_site_type_symbol
_atom_site_fract_x
_atom_site_fract_y
_atom_site_fract_z
Mo1 Mo 0.250 0.250 0.250
Mo2 Mo 0.750 0.750 0.750
Ir1 Ir 0.500 0.500 0.500
Te1 Te 0.000 0.000 0.000

***

Record 3
# Te2MoIr | the Alexandria database | GGA-PBE | optimized geometry
# M_tot: 0.00 μB per cell
# Excess energy over the best structure of this formula in the dataset: 369 meV/atom
# Energy relative to the elements, uncorrected: 0.52 eV per atom
data_Te2MoIr
_cell_length_a 6.011
_cell_length_b 6.011
_cell_length_c 7.325
_cell_angle_alpha 65.78
_cell_angle_beta 65.78
_cell_angle_gamma 90.00
_symmetry_space_group_name_H-M 'P 1'
_symmetry_Int_Tables_number 1
loop_
_symmetry_equiv_pos_as_xyz
'x,y,z'
loop_
_atom_site_label
_atom_site_type_symbol
_atom_site_fract_x
_atom_site_fract_y
_atom_site_fract_z
Mo1 Mo 0.500 0.500 0.000
Mo2 Mo 0.250 0.750 0.500
Ir1 Ir 0.000 0.000 0.000
Ir2 Ir 0.750 0.250 0.500
Te1 Te 0.632 0.125 0.250
Te2 Te 0.118 0.625 0.250
Te3 Te 0.375 0.368 0.750
Te4 Te 0.875 0.882 0.750